(1)
# ZnAgMo4, single point on PBEsol structure, DFT meta-GGA SCAN
data_ZnAgMo4
_symmetry_space_group_name_H-M 'F -4 3 m'
_symmetry_Int_Tables_number 216
_symmetry_space_group_name_Hall 'F -4 2 3'
_cell_length_a 7.305
_cell_length_b 7.305
_cell_length_c 7.305
_cell_angle_alpha 90.00
_cell_angle_beta 90.00
_cell_angle_gamma 90.00
loop_
_atom_site_label
_atom_site_type_symbol
_atom_site_fract_x
_atom_site_fract_y
_atom_site_fract_z
_atom_site_occupancy
Zn1 Zn 0.000 0.000 0.000 1
Ag1 Ag 0.250 0.250 0.250 1
Mo1 Mo 0.125 0.125 0.625 1
# - ΔE_f: 612 meV per atom

=====

(2)
# Zr2AgMo, single point on PBEsol structure, DFT meta-GGA SCAN
data_Zr2AgMo
_symmetry_space_group_name_H-M 'I -4 m 2'
_symmetry_Int_Tables_number 119
_symmetry_space_group_name_Hall 'I -4 -2'
_cell_length_a 4.100
_cell_length_b 4.100
_cell_length_c 8.805
_cell_angle_alpha 90.00
_cell_angle_beta 90.00
_cell_angle_gamma 90.00
loop_
_atom_site_label
_atom_site_type_symbol
_atom_site_fract_x
_atom_site_fract_y
_atom_site_fract_z
_atom_site_occupancy
Zr1 Zr 0.000 0.000 0.000 1
Zr2 Zr 0.000 0.500 0.250 1
Ag1 Ag 0.000 0.000 0.500 1
Mo1 Mo 0.000 0.500 0.750 1
# - ΔE_f: 146 meV per atom
# - Energy above the most stable polymorph in this dataset: 0.2788 eV per atom

=====

(3)
# ZrAg2Mo, single point on PBEsol structure, DFT meta-GGA SCAN
data_ZrAg2Mo
_symmetry_space_group_name_H-M 'P 4/m m m'
_symmetry_Int_Tables_number 123
_symmetry_space_group_name_Hall '-P 4 2'
_cell_length_a 3.946
_cell_length_b 3.946
_cell_length_c 4.376
_cell_angle_alpha 90.00
_cell_angle_beta 90.00
_cell_angle_gamma 90.00
loop_
_atom_site_label
_atom_site_type_symbol
_atom_site_fract_x
_atom_site_fract_y
_atom_site_fract_z
_atom_site_occupancy
Zr1 Zr 0.000 0.000 0.000 1
Ag1 Ag 0.000 0.500 0.500 1
Mo1 Mo 0.500 0.500 0.000 1
# - ΔE_f: 235 meV per atom
# - Energy above the most stable polymorph in this dataset: 0.0000 eV per atom

=====

(4)
# Zr2AgMo, single point on PBEsol structure, DFT meta-GGA SCAN
data_Zr2AgMo
_symmetry_space_group_name_H-M 'C m m 2'
_symmetry_Int_Tables_number 35
_symmetry_space_group_name_Hall 'C 2 -2'
_cell_length_a 3.413
_cell_length_b 4.469
_cell_length_c 9.676
_cell_angle_alpha 90.00
_cell_angle_beta 90.00
_cell_angle_gamma 90.00
loop_
_atom_site_label
_atom_site_type_symbol
_atom_site_fract_x
_atom_site_fract_y
_atom_site_fract_z
_atom_site_occupancy
Zr1 Zr 0.000 0.000 0.000 1
Zr2 Zr 0.000 0.500 0.286 1
Ag1 Ag 0.000 0.000 0.536 1
Mo1 Mo 0.000 0.500 0.767 1
# - ΔE_f: 251 meV per atom
# - Energy above the most stable polymorph in this dataset: 0.3834 eV per atom

=====

(5)
# ZrAgMo2, single point on PBEsol structure, DFT meta-GGA SCAN
data_ZrAgMo2
_symmetry_space_group_name_H-M 'C m m m'
_symmetry_Int_Tables_number 65
_symmetry_space_group_name_Hall '-C 2 2'
_cell_length_a 5.622
_cell_length_b 9.073
_cell_length_c 2.641
_cell_angle_alpha 90.00
_cell_angle_beta 90.00
_cell_angle_gamma 90.00
loop_
_atom_site_label
_atom_site_type_symbol
_atom_site_fract_x
_atom_site_fract_y
_atom_site_fract_z
_atom_site_occupancy
Zr1 Zr 0.000 0.000 0.000 1
Ag1 Ag 0.000 0.500 0.000 1
Mo1 Mo 0.250 0.250 0.500 1
# - ΔE_f: 408 meV per atom
# - Energy above the most stable polymorph in this dataset: 0.0427 eV per atom

=====

(6)
# ZrAgMo2, single point on PBEsol structure, DFT meta-GGA SCAN
data_ZrAgMo2
_symmetry_space_group_name_H-M 'C m m m'
_symmetry_Int_Tables_number 65
_symmetry_space_group_name_Hall '-C 2 2'
_cell_length_a 3.313
_cell_length_b 4.339
_cell_length_c 9.326
_cell_angle_alpha 90.00
_cell_angle_beta 90.00
_cell_angle_gamma 90.00
loop_
_atom_site_label
_atom_site_type_symbol
_atom_site_fract_x
_atom_site_fract_y
_atom_site_fract_z
_atom_site_occupancy
Zr1 Zr 0.000 0.000 0.000 1
Ag1 Ag 0.000 0.000 0.500 1
Mo1 Mo 0.000 0.500 0.255 1
# - ΔE_f: 365 meV per atom
# - Energy above the most stable polymorph in this dataset: 0.0000 eV per atom

=====

(7)
# ZrAg2Mo, single point on PBEsol structure, DFT meta-GGA SCAN
data_ZrAg2Mo
_symmetry_space_group_name_H-M 'R -3 m'
_symmetry_Int_Tables_number 166
_symmetry_space_group_name_Hall '-R 3 2"'
_cell_length_a 2.8158
_cell_length_b 2.8158
_cell_length_c 29.9581
_cell_angle_alpha 90.00
_cell_angle_beta 90.00
_cell_angle_gamma 120.00
loop_
_atom_site_label
_atom_site_type_symbol
_atom_site_fract_x
_atom_site_fract_y
_atom_site_fract_z
_atom_site_occupancy
Zr1 Zr 0.0000 0.0000 0.0000 1
Ag1 Ag 0.0000 0.0000 0.2467 1
Mo1 Mo 0.0000 0.0000 0.5000 1
# - ΔE_f: 395 meV per atom
# - Energy above the most stable polymorph in this dataset: 0.1600 eV per atom

=====

(8)
# ZrAg2Mo, single point on PBEsol structure, DFT meta-GGA SCAN
data_ZrAg2Mo
_symmetry_space_group_name_H-M 'I m m 2'
_symmetry_Int_Tables_number 44
_symmetry_space_group_name_Hall 'I 2 -2'
_cell_length_a 2.893
_cell_length_b 5.044
_cell_length_c 9.635
_cell_angle_alpha 90.00
_cell_angle_beta 90.00
_cell_angle_gamma 90.00
loop_
_atom_site_label
_atom_site_type_symbol
_atom_site_fract_x
_atom_site_fract_y
_atom_site_fract_z
_atom_site_occupancy
Zr1 Zr 0.000 0.000 0.000 1
Ag1 Ag 0.000 0.000 0.508 1
Ag2 Ag 0.000 0.500 0.764 1
Mo1 Mo 0.000 0.500 0.257 1
# - ΔE_f: 383 meV per atom
# - Energy above the most stable polymorph in this dataset: 0.1480 eV per atom

=====

(9)
# Zr2AgMo, single point on PBEsol structure, DFT meta-GGA SCAN
data_Zr2AgMo
_symmetry_space_group_name_H-M 'P 4/m m m'
_symmetry_Int_Tables_number 123
_symmetry_space_group_name_Hall '-P 4 2'
_cell_length_a 3.370
_cell_length_b 3.370
_cell_length_c 6.592
_cell_angle_alpha 90.00
_cell_angle_beta 90.00
_cell_angle_gamma 90.00
loop_
_atom_site_label
_atom_site_type_symbol
_atom_site_fract_x
_atom_site_fract_y
_atom_site_fract_z
_atom_site_occupancy
Zr1 Zr 0.000 0.000 0.231 1
Ag1 Ag 0.500 0.500 0.500 1
Mo1 Mo 0.500 0.500 0.000 1
# - ΔE_f: -132 meV per atom
# - Energy above the most stable polymorph in this dataset: 0.0000 eV per atom

=====

(10)
# ZrAgMo4, single point on PBEsol structure, DFT meta-GGA SCAN
data_ZrAgMo4
_symmetry_space_group_name_H-M 'F -4 3 m'
_symmetry_Int_Tables_number 216
_symmetry_space_group_name_Hall 'F -4 2 3'
_cell_length_a 7.427
_cell_length_b 7.427
_cell_length_c 7.427
_cell_angle_alpha 90.00
_cell_angle_beta 90.00
_cell_angle_gamma 90.00
loop_
_atom_site_label
_atom_site_type_symbol
_atom_site_fract_x
_atom_site_fract_y
_atom_site_fract_z
_atom_site_occupancy
Zr1 Zr 0.000 0.000 0.000 1
Ag1 Ag 0.250 0.250 0.750 1
Mo1 Mo 0.125 0.125 0.375 1
# - ΔE_f: 302 meV per atom

=====

(11)
# ZrAg2Mo, single point on PBEsol structure, DFT meta-GGA SCAN
data_ZrAg2Mo
_symmetry_space_group_name_H-M 'I -4 m 2'
_symmetry_Int_Tables_number 119
_symmetry_space_group_name_Hall 'I -4 -2'
_cell_length_a 4.081
_cell_length_b 4.081
_cell_length_c 8.335
_cell_angle_alpha 90.00
_cell_angle_beta 90.00
_cell_angle_gamma 90.00
loop_
_atom_site_label
_atom_site_type_symbol
_atom_site_fract_x
_atom_site_fract_y
_atom_site_fract_z
_atom_site_occupancy
Zr1 Zr 0.000 0.000 0.000 1
Ag1 Ag 0.000 0.000 0.500 1
Ag2 Ag 0.000 0.500 0.250 1
Mo1 Mo 0.000 0.500 0.750 1
# - ΔE_f: 346 meV per atom
# - Energy above the most stable polymorph in this dataset: 0.1110 eV per atom

=====

(12)
# ZrAgMo2, single point on PBEsol structure, DFT meta-GGA SCAN
data_ZrAgMo2
_symmetry_space_group_name_H-M 'R -3 m'
_symmetry_Int_Tables_number 166
_symmetry_space_group_name_Hall '-R 3 2"'
_cell_length_a 2.7775
_cell_length_b 2.7775
_cell_length_c 30.4360
_cell_angle_alpha 90.00
_cell_angle_beta 90.00
_cell_angle_gamma 120.00
loop_
_atom_site_label
_atom_site_type_symbol
_atom_site_fract_x
_atom_site_fract_y
_atom_site_fract_z
_atom_site_occupancy
Zr1 Zr 0.0000 0.0000 0.0000 1
Ag1 Ag 0.0000 0.0000 0.5000 1
Mo1 Mo 0.0000 0.0000 0.2461 1
# - ΔE_f: 505 meV per atom
# - Energy above the most stable polymorph in this dataset: 0.1400 eV per atom

=====

(13)
# ZrAgMo2, single point on PBEsol structure, DFT meta-GGA SCAN
data_ZrAgMo2
_symmetry_space_group_name_H-M 'F m -3 m'
_symmetry_Int_Tables_number 225
_symmetry_space_group_name_Hall '-F 4 2 3'
_cell_length_a 6.455
_cell_length_b 6.455
_cell_length_c 6.455
_cell_angle_alpha 90.00
_cell_angle_beta 90.00
_cell_angle_gamma 90.00
loop_
_atom_site_label
_atom_site_type_symbol
_atom_site_fract_x
_atom_site_fract_y
_atom_site_fract_z
_atom_site_occupancy
Zr1 Zr 0.000 0.000 0.000 1
Ag1 Ag 0.000 0.000 0.500 1
Mo1 Mo 0.250 0.250 0.250 1
# - ΔE_f: 653 meV per atom
# - Energy above the most stable polymorph in this dataset: 0.2881 eV per atom

=====

(14)
# Ag3N, single point on PBEsol structure, DFT meta-GGA SCAN
data_Ag3N
_symmetry_space_group_name_H-M 'I 4/m m m'
_symmetry_Int_Tables_number 139
_symmetry_space_group_name_Hall '-I 4 2'
_cell_length_a 3.836
_cell_length_b 3.836
_cell_length_c 7.895
_cell_angle_alpha 90.00
_cell_angle_beta 90.00
_cell_angle_gamma 90.00
loop_
_atom_site_label
_atom_site_type_symbol
_atom_site_fract_x
_atom_site_fract_y
_atom_site_fract_z
_atom_site_occupancy
Ag1 Ag 0.000 0.000 0.000 1
Ag2 Ag 0.000 0.500 0.250 1
N1 N 0.000 0.000 0.500 1
# - Raw formation energy: 1.04 eV/atom

=====

(15)
# NaAg3N, single point on PBEsol structure, DFT meta-GGA SCAN
data_NaAg3N
_symmetry_space_group_name_H-M 'P m -3 m'
_symmetry_Int_Tables_number 221
_symmetry_space_group_name_Hall '-P 4 2 3'
_cell_length_a 4.873
_cell_length_b 4.873
_cell_length_c 4.873
_cell_angle_alpha 90.00
_cell_angle_beta 90.00
_cell_angle_gamma 90.00
loop_
_atom_site_label
_atom_site_type_symbol
_atom_site_fract_x
_atom_site_fract_y
_atom_site_fract_z
_atom_site_occupancy
Na1 Na 0.000 0.000 0.000 1
Ag1 Ag 0.000 0.000 0.500 1
N1 N 0.500 0.500 0.500 1
# - Raw formation energy: 1.82 eV/atom

=====

no.,DFT total energy (eV per cell),density of states at the Fermi level (states/eV/f.u.)
1,-723.02,4.73
2,-254.13,3.42
3,-127.38,3.77
4,-253.29,4.17
5,-260.41,3.34
6,-260.75,3.94
7,-380.21,3.28
8,-253.57,2.59
9,-128.18,2.99
10,-799.18,7.01
11,-253.87,2.65
12,-389.45,3.44
13,-516.89,5.23
14,-198.44,1.04
15,-98.49,1.53